VASP calculation (PBE) on a geometry-optimized BaMnRe2 structure.

Computed properties:
- calculated formation energy (eV/f.u.) = 5.958
- energy relative to the lowest polymorph listed for this composition (meV/atom) = 955.5
- size of the total moment (μB per formula unit) = 3.66

```
BaMnRe2
1.0
-4.501 -3.732 0.634
5.618 -1.263 1.198
-0.359 0.877 2.611
Re Ba Mn
2 1 1
Direct
0.500 0.500 0.000 Re
0.000 0.000 0.000 Re
0.500 0.000 0.500 Ba
0.000 0.500 0.500 Mn
```